(1)
Na2TlCdRu | PBE | optimized geometry

The structure belongs to space group P4/mmm (No. 123); the cell edges are 5.431, 5.431 and 5.224 Å and the angles 90.00°, 90.00° and 90.00°. The distinct sites, in fractional coordinates, are Na at (0.000, 0.500, 0.000), Tl at (0.000, 0.000, 0.500), Cd at (0.500, 0.500, 0.500) and Ru at (0.500, 0.500, 0.000).

For the density, the calculation gives 5.0 g/cm³. The calculation puts the calculated formation energy at 3.6 eV/f.u. The calculation puts the total magnetization at 0.9 Bohr magnetons per cell. The density of states at the Fermi level comes out at 5.243 states/eV/f.u.



(2)
NaCdS4 | PBE | optimized geometry

The structure belongs to space group C2/c (No. 15); the cell edges are 8.477, 10.493 and 7.326 Å and the angles 90.00°, 117.37° and 90.00°. The distinct sites, in fractional coordinates, are Na at (0.000, 0.126, 0.250), Cd at (0.000, 0.379, 0.750), S at (0.204, 0.213, 0.680) and S at (0.214, 0.443, 0.132).

For the density, the calculation gives 3.0 g/cm³. The value obtained for the uncorrected formation energy is -0.35 eV/atom. The calculation puts the total magnetization at 0.0 Bohr magnetons per cell. The density of states at the Fermi level comes out at 4.339 states/eV/f.u.



(3)
Na2Cd2S3 | PBE | optimized geometry

The structure belongs to space group C2/c (No. 15); the cell edges are 15.528, 13.616 and 7.266 Å and the angles 90.00°, 117.65° and 90.00°. The distinct sites, in fractional coordinates, are Na at (0.000, 0.076, 0.250), Na at (0.000, 0.222, 0.750), Na at (0.095, 0.416, 0.634), Cd at (0.177, 0.237, 0.253), Cd at (0.206, 0.074, 0.801), S at (0.112, 0.391, 0.032), S at (0.130, 0.074, 0.052) and S at (0.133, 0.225, 0.555).

For the density, the calculation gives 3.6 g/cm³. The value obtained for the uncorrected formation energy is -0.84 eV/atom. The calculation puts the total magnetization at 0.0 Bohr magnetons per cell. The density of states at the Fermi level comes out at 0.000 states/eV/f.u.



(4)
NaCdS3 | PBE | optimized geometry

The structure belongs to space group Pm-3m (No. 221); the cell edges are 5.039, 5.039 and 5.039 Å and the angles 90.00°, 90.00° and 90.00°. The distinct sites, in fractional coordinates, are Na at (0.000, 0.000, 0.000), Cd at (0.500, 0.500, 0.500) and S at (0.000, 0.500, 0.500).

For the density, the calculation gives 3.0 g/cm³. The value obtained for the uncorrected formation energy is 0.17 eV/atom. The calculation puts the total magnetization at 0.0 Bohr magnetons per cell. The density of states at the Fermi level comes out at 6.972 states/eV/f.u.



(5)
NaCdS3 | PBE | optimized geometry

The structure belongs to space group Pm-3m (No. 221); the cell edges are 4.956, 4.956 and 4.956 Å and the angles 90.00°, 90.00° and 90.00°. The distinct sites, in fractional coordinates, are Na at (0.000, 0.000, 0.000), Cd at (0.500, 0.500, 0.500) and S at (0.000, 0.000, 0.500).

For the density, the calculation gives 3.2 g/cm³. The value obtained for the uncorrected formation energy is 0.70 eV/atom. The calculation puts the total magnetization at 2.9 Bohr magnetons per cell. The density of states at the Fermi level comes out at 2.867 states/eV/f.u.



(6)
NaCd3S | PBE | optimized geometry

The structure belongs to space group Pm-3m (No. 221); the cell edges are 5.531, 5.531 and 5.531 Å and the angles 90.00°, 90.00° and 90.00°. The distinct sites, in fractional coordinates, are Na at (0.000, 0.000, 0.000), Cd at (0.000, 0.000, 0.500) and S at (0.500, 0.500, 0.500).

For the density, the calculation gives 3.8 g/cm³. The value obtained for the uncorrected formation energy is 0.64 eV/atom. The calculation puts the total magnetization at 1.0 Bohr magnetons per cell. The density of states at the Fermi level comes out at 4.065 states/eV/f.u.



(7)
NaCd2S | PBE | optimized geometry

The structure belongs to space group I-42d (No. 122); the cell edges are 8.830, 8.830 and 5.281 Å and the angles 90.00°, 90.00° and 90.00°. The distinct sites, in fractional coordinates, are Na at (0.000, 0.000, 0.000), Cd at (0.179, 0.250, 0.625) and S at (0.000, 0.000, 0.500).

For the density, the calculation gives 4.5 g/cm³. The value obtained for the uncorrected formation energy is -0.33 eV/atom. The calculation puts the total magnetization at 0.0 Bohr magnetons per cell. The density of states at the Fermi level comes out at 1.557 states/eV/f.u.



(8)
Na2CdS2 | PBE | optimized geometry

The structure belongs to space group C2/m (No. 12); the cell edges are 14.362, 5.191 and 9.719 Å and the angles 90.00°, 124.77° and 90.00°. The distinct sites, in fractional coordinates, are Na at (0.046, 0.000, 0.226), Na at (0.171, 0.500, 0.008), Cd at (0.137, 0.500, 0.638), S at (0.032, 0.500, 0.330) and S at (0.177, 0.000, 0.099).

For the density, the calculation gives 2.5 g/cm³. The value obtained for the uncorrected formation energy is -0.85 eV/atom. The calculation puts the total magnetization at 0.0 Bohr magnetons per cell. The density of states at the Fermi level comes out at 0.000 states/eV/f.u.



(9)
NaCd3S | PBE | optimized geometry

The structure belongs to space group Pm-3m (No. 221); the cell edges are 5.343, 5.343 and 5.343 Å and the angles 90.00°, 90.00° and 90.00°. The distinct sites, in fractional coordinates, are Na at (0.000, 0.000, 0.000), Cd at (0.000, 0.500, 0.500) and S at (0.500, 0.500, 0.500).

For the density, the calculation gives 4.3 g/cm³. The value obtained for the uncorrected formation energy is 0.20 eV/atom. The calculation puts the total magnetization at 0.0 Bohr magnetons per cell. The density of states at the Fermi level comes out at 2.598 states/eV/f.u.



(10)
Na3CdS | PBE | optimized geometry

The structure belongs to space group Pm-3m (No. 221); the cell edges are 5.364, 5.364 and 5.364 Å and the angles 90.00°, 90.00° and 90.00°. The distinct sites, in fractional coordinates, are Na at (0.000, 0.000, 0.500), Cd at (0.500, 0.500, 0.500) and S at (0.000, 0.000, 0.000).

For the density, the calculation gives 2.3 g/cm³. The value obtained for the uncorrected formation energy is -0.48 eV/atom. The calculation puts the total magnetization at 0.0 Bohr magnetons per cell. The density of states at the Fermi level comes out at 4.498 states/eV/f.u.



(11)
Na3CdS | PBE | optimized geometry

The structure belongs to space group Pm-3m (No. 221); the cell edges are 5.529, 5.529 and 5.529 Å and the angles 90.00°, 90.00° and 90.00°. The distinct sites, in fractional coordinates, are Na at (0.000, 0.000, 0.500), Cd at (0.000, 0.000, 0.000) and S at (0.500, 0.500, 0.500).

For the density, the calculation gives 2.1 g/cm³. The value obtained for the uncorrected formation energy is 0.18 eV/atom. The calculation puts the total magnetization at 0.0 Bohr magnetons per cell. The density of states at the Fermi level comes out at 5.137 states/eV/f.u.



(12)
Na4CdS3 | PBE | optimized geometry

The structure belongs to space group Cc (No. 9); the cell edges are 13.911, 7.054 and 9.632 Å and the angles 90.00°, 113.95° and 90.00°. The distinct sites, in fractional coordinates, are Na at (0.000, 0.156, 0.000), Na at (0.079, 0.290, 0.701), Na at (0.158, 0.159, 0.409), Na at (0.264, 0.333, 0.108), Cd at (0.402, 0.155, 0.785), S at (0.073, 0.497, 0.948), S at (0.227, 0.011, 0.705) and S at (0.446, 0.479, 0.723).

For the density, the calculation gives 2.3 g/cm³. The value obtained for the uncorrected formation energy is -0.93 eV/atom. The calculation puts the total magnetization at 0.0 Bohr magnetons per cell. The density of states at the Fermi level comes out at 0.000 states/eV/f.u.



(13)
Na2CdS2 | PBE | optimized geometry

The structure belongs to space group P4/mbm (No. 127); the cell edges are 7.329, 7.329 and 4.018 Å and the angles 90.00°, 90.00° and 90.00°. The distinct sites, in fractional coordinates, are Na at (0.135, 0.365, 0.000), Cd at (0.000, 0.000, 0.500) and S at (0.178, 0.678, 0.500).

For the density, the calculation gives 3.4 g/cm³. The value obtained for the uncorrected formation energy is -0.71 eV/atom. The calculation puts the total magnetization at 0.0 Bohr magnetons per cell. The density of states at the Fermi level comes out at 0.036 states/eV/f.u.



(14)
Na14Cd2S9 | PBE | optimized geometry

The structure belongs to space group P-3 (No. 147); the cell edges are 7.9901, 7.9901 and 11.1597 Å and the angles 90.00°, 90.00° and 120.00°. The distinct sites, in fractional coordinates, are Na at (0.0000, 0.0000, 0.2487), Na at (0.0253, 0.6746, 0.4092), Na at (0.0519, 0.3716, 0.0927), Cd at (0.3333, 0.6667, 0.7584), S at (0.0000, 0.0000, 0.5000), S at (0.0425, 0.3481, 0.8386) and S at (0.3333, 0.6667, 0.5258).

For the density, the calculation gives 2.2 g/cm³. The value obtained for the uncorrected formation energy is -1.02 eV/atom. The calculation puts the total magnetization at 0.0 Bohr magnetons per cell. The density of states at the Fermi level comes out at 0.000 states/eV/f.u.



(15)
Na6CdS4 | PBE | optimized geometry

The structure belongs to space group P6_3mc (No. 186); the cell edges are 9.1881, 9.1881 and 7.0131 Å and the angles 90.00°, 90.00° and 120.00°. The distinct sites, in fractional coordinates, are Na at (0.0676, 0.5338, 0.0000), Na at (0.1476, 0.2952, 0.3370), Cd at (0.3333, 0.6667, 0.6231), S at (0.1811, 0.3621, 0.7365) and S at (0.3333, 0.6667, 0.2585).

For the density, the calculation gives 2.5 g/cm³. The value obtained for the uncorrected formation energy is -1.00 eV/atom. The calculation puts the total magnetization at 0.0 Bohr magnetons per cell. The density of states at the Fermi level comes out at 0.000 states/eV/f.u.



(16)
Na5CdS3 | PBE | optimized geometry

The structure belongs to space group C2/c (No. 15); the cell edges are 14.724, 6.614 and 9.413 Å and the angles 90.00°, 108.67° and 90.00°. The distinct sites, in fractional coordinates, are Na at (0.000, 0.248, 0.250), Na at (0.166, 0.245, 0.587), Na at (0.166, 0.250, 0.080), Cd at (0.000, 0.263, 0.750), S at (0.000, 0.500, 0.000) and S at (0.168, 0.007, 0.334).

For the density, the calculation gives 2.5 g/cm³. The value obtained for the uncorrected formation energy is -0.89 eV/atom. The calculation puts the total magnetization at 0.0 Bohr magnetons per cell.



(17)
Na5Cd2S5 | PBE | optimized geometry

The structure belongs to space group C2/m (No. 12); the cell edges are 13.582, 3.769 and 11.317 Å and the angles 90.00°, 107.21° and 90.00°. The distinct sites, in fractional coordinates, are Na at (0.000, 0.000, 0.000), Na at (0.161, 0.000, 0.554), Na at (0.247, 0.500, 0.139), Cd at (0.043, 0.500, 0.290), S at (0.000, 0.500, 0.500), S at (0.110, 0.500, 0.899) and S at (0.177, 0.000, 0.303).

For the density, the calculation gives 3.0 g/cm³. The value obtained for the uncorrected formation energy is -0.83 eV/atom. The calculation puts the total magnetization at 0.4 Bohr magnetons per cell. The density of states at the Fermi level comes out at 5.041 states/eV/f.u.



(18)
Na2Cd2S3 | PBE | optimized geometry

The structure belongs to space group C2/m (No. 12); the cell edges are 13.689, 4.105 and 6.952 Å and the angles 90.00°, 113.16° and 90.00°. The distinct sites, in fractional coordinates, are Na at (0.105, 0.000, 0.370), Cd at (0.176, 0.500, 0.808), S at (0.000, 0.500, 0.500) and S at (0.207, 0.500, 0.202).

For the density, the calculation gives 3.4 g/cm³. The value obtained for the uncorrected formation energy is -0.80 eV/atom. The calculation puts the total magnetization at 0.0 Bohr magnetons per cell.



(19)
NaCd2S2 | PBE | optimized geometry

The structure belongs to space group I4/mmm (No. 139); the cell edges are 4.344, 4.344 and 13.658 Å and the angles 90.00°, 90.00° and 90.00°. The distinct sites, in fractional coordinates, are Na at (0.000, 0.000, 0.000), Cd at (0.000, 0.500, 0.250) and S at (0.000, 0.000, 0.371).

For the density, the calculation gives 4.0 g/cm³. The value obtained for the uncorrected formation energy is -0.36 eV/atom. The calculation puts the total magnetization at 0.0 Bohr magnetons per cell. The density of states at the Fermi level comes out at 1.707 states/eV/f.u.



(20)
NaCd2S2 | PBE | optimized geometry

The structure belongs to space group I4/mmm (No. 139); the cell edges are 5.044, 5.044 and 9.442 Å and the angles 90.00°, 90.00° and 90.00°. The distinct sites, in fractional coordinates, are Na at (0.000, 0.000, 0.000), Cd at (0.000, 0.000, 0.350) and S at (0.000, 0.500, 0.250).

For the density, the calculation gives 4.3 g/cm³. The value obtained for the uncorrected formation energy is -0.41 eV/atom. The calculation puts the total magnetization at 0.0 Bohr magnetons per cell. The density of states at the Fermi level comes out at 1.604 states/eV/f.u.